VASP calculation (GGA-PBE) on an optimized crystal structure of TlInCoSn2.

Cell: 4.978 4.978 5.068 Å, 90.00 90.00 90.00°
Space group P4/mmm (No. 123)
Unique sites:
Tl: 0.000 0.000 0.000 [1 per cell]
In: 0.500 0.500 0.000 [1 per cell]
Co: 0.500 0.500 0.500 [1 per cell]
Sn: 0.000 0.500 0.500 [2 per cell]

Summary:
E ... -3.9879 eV/atom
ΔE_f ... 55.4 meV/atom
Volume ... 25.1 Å³ per atom